AlTePt (PBE, relaxed); E_form (uncorrected) = -0.471 eV/atom; DOS at the Fermi energy = 0.184 states/eV per atom; electronic total energy = -14.34 eV for the cell shown
1.0
-0.791 -1.507 6.885
-4.703 -2.134 4.861
3.294 -0.298 -6.274
Te Al Pt
1 1 1
Direct
0.669 0.669 0.000 Te
0.873 0.873 0.000 Al
0.457 0.457 0.000 Pt